A plane-wave DFT calculation with PBE was carried out for LiCaSmPd after structural relaxation.

abc: 5.1196 5.1196 5.1196
angles: 60.00 60.00 60.00
With the nearest neighbours (Å) after each atom.
Atoms (fractional coordinates):
1 Li 0.0000 0.0000 0.0000  4 Ca 3.14, 4 Sm 3.14
2 Ca 0.2500 0.2500 0.2500  4 Pd 3.14, 4 Li 3.14
3 Sm 0.7500 0.7500 0.7500  4 Pd 3.14, 4 Li 3.14
4 Pd 0.5000 0.5000 0.5000  4 Sm 3.14, 4 Ca 3.14

- Formation energy from the elements: -1.4 eV/f.u.
- Total DFT energy (no corrections): -3.798 eV/atom
- Total magnetization: 0.00 μB/atom
- Volume: 94.9 Å³/cell